Entry 1:
CaLa2Mo2: relaxed, PBE-GGA. Values from VASP.

Computed properties:
magnetic moment = 0.0 μB/cell
energy relative to the elements = 717 meV per atom
electronic total energy = -59.86 eV per cell

The structure in Quantum ESPRESSO input format:
```
&SYSTEM
  ibrav = 0, nat = 10, ntyp = 3
/
ATOMIC_SPECIES
Mo 95.94 Mo.upf
Ca 40.08 Ca.upf
La 138.91 La.upf
ATOMIC_POSITIONS angstrom
Mo 4.746 -4.012 -1.945
Mo 5.664 -4.764 -6.658
Mo 1.355 -2.831 -7.806
Mo 0.436 -2.079 -3.093
Ca 0.000 0.000 0.000
Ca 3.685 -2.061 -4.968
La 6.811 -3.452 -3.966
La 4.506 -2.678 -8.383
La 0.560 -0.670 -5.971
La 2.865 -1.444 -1.554
CELL_PARAMETERS angstrom
-0.935 -0.191 -9.172
8.306 -3.931 -0.765
-1.270 -2.721 0.186
```

Entry 2:
CaLaMo3: relaxed, PBE-GGA. Values from VASP.

Computed properties:
magnetic moment = 2.2 μB/cell
energy relative to the elements = 1828 meV per atom
electronic total energy = -30.28 eV per cell

The structure in Quantum ESPRESSO input format:
```
&SYSTEM
  ibrav = 0, nat = 5, ntyp = 3
/
ATOMIC_SPECIES
Mo 95.94 Mo.upf
Ca 40.08 Ca.upf
La 138.91 La.upf
ATOMIC_POSITIONS angstrom
Mo 0.000 2.458 0.000
Mo 0.000 0.000 2.458
Mo 2.458 0.000 0.000
Ca 2.458 2.458 2.458
La 0.000 0.000 0.000
CELL_PARAMETERS angstrom
4.916 0.000 0.000
0.000 4.916 0.000
0.000 0.000 4.916
```

Entry 3:
CaLa2Mo: relaxed, PBE-GGA. Values from VASP.

Computed properties:
magnetic moment = 0.0 μB/cell
energy relative to the elements = 524 meV per atom
electronic total energy = -20.59 eV per cell

The structure in Quantum ESPRESSO input format:
```
&SYSTEM
  ibrav = 0, nat = 4, ntyp = 3
/
ATOMIC_SPECIES
Mo 95.94 Mo.upf
Ca 40.08 Ca.upf
La 138.91 La.upf
ATOMIC_POSITIONS angstrom
Mo 16.085 2.657 1.562
Ca 24.411 4.032 2.370
La 31.634 5.226 3.072
La 7.349 1.214 0.714
CELL_PARAMETERS angstrom
10.988 -0.010 -0.006
10.401 3.543 -0.006
10.401 1.718 3.099
```

Entry 4:
CaLa2Mo: relaxed, PBE-GGA. Values from VASP.

Computed properties:
magnetic moment = 0.0 μB/cell
energy relative to the elements = 406 meV per atom
electronic total energy = -21.06 eV per cell

The structure in Quantum ESPRESSO input format:
```
&SYSTEM
  ibrav = 0, nat = 4, ntyp = 3
/
ATOMIC_SPECIES
Mo 95.94 Mo.upf
Ca 40.08 Ca.upf
La 138.91 La.upf
ATOMIC_POSITIONS angstrom
Mo -4.669 2.086 6.105
Ca -1.954 0.848 3.001
La 0.304 -0.471 5.531
La -8.037 3.661 9.257
CELL_PARAMETERS angstrom
-4.245 4.086 3.452
-5.938 0.835 3.268
0.367 -0.504 5.526
```